No. 1
## ThGe3Pd (GGA-PBE)

Data for a geometry-optimized ThGe3Pd structure.

The structure in POSCAR format:
```
ThGe3Pd
1.0
5.970 0.000 0.000
0.000 5.734 -0.001
0.001 0.001 6.149
Th Ge Pd
2 6 2
Direct
0.419 0.316 0.701
0.919 0.037 0.201
0.372 0.252 0.201
0.462 0.866 0.975
0.962 0.487 0.475
0.872 0.101 0.701
0.962 0.487 0.926
0.462 0.866 0.426
0.162 0.795 0.701
0.662 0.558 0.201
```

Results
The formation energy from the elements is -0.533 eV per atom.

No. 2
## ErMgGa2 (GGA-PBE)

Data for a geometry-optimized ErMgGa2 structure.

The structure in POSCAR format:
```
ErMgGa2
1.0
-0.229 -1.146 3.266
3.409 -0.644 0.013
1.185 6.318 2.300
Mg Ga Er
1 2 1
Direct
0.500 0.500 0.000
0.000 0.000 0.774
0.000 0.000 0.226
0.500 0.500 0.500
```

Results
The formation energy from the elements is -0.365 eV per atom.

No. 3
## PrNd10Y4 (GGA-PBE)

Data for a geometry-optimized PrNd10Y4 structure.

The structure in POSCAR format:
```
PrNd10Y4
1.0
7.163 0.000 3.234
3.581 8.821 1.617
-0.049 0.000 9.657
Pr Nd Y
1 10 4
Direct
0.000 0.000 0.000
0.250 0.500 0.500
0.649 0.301 0.899
0.050 0.101 0.301
0.453 0.899 0.699
0.849 0.699 0.101
0.351 0.699 0.101
0.750 0.500 0.500
0.151 0.301 0.899
0.547 0.101 0.301
0.950 0.899 0.699
0.400 0.800 0.400
0.800 0.600 0.800
0.200 0.400 0.200
0.600 0.200 0.600
```

Results
The formation energy from the elements is 0.719 eV per atom.

No. 4
## CeMg3In3 (GGA-PBE)

Data for a geometry-optimized CeMg3In3 structure.

The structure in POSCAR format:
```
CeMg3In3
1.0
-6.507 -3.756 1.944
4.195 -5.279 3.842
-0.537 4.273 6.457
Mg Ce In
6 2 6
Direct
0.250 0.000 0.500
0.000 0.500 0.250
0.500 0.750 0.000
0.750 0.000 0.500
0.000 0.500 0.750
0.500 0.250 0.000
0.500 0.500 0.500
0.000 0.000 0.000
0.000 0.250 0.500
0.000 0.750 0.500
0.500 0.000 0.750
0.750 0.500 0.000
0.500 0.000 0.250
0.250 0.500 0.000
```

Results
The formation energy from the elements is 0.417 eV per atom.

No. 5
## LaPr2Si (GGA-PBE)

Data for a geometry-optimized LaPr2Si structure.

The structure in POSCAR format:
```
LaPr2Si
1.0
4.767 0.000 0.000
0.000 4.871 0.000
0.000 0.000 4.871
Pr Si La
2 1 1
Direct
0.000 0.000 0.500
0.000 0.500 0.000
0.500 0.000 0.000
0.500 0.500 0.500
```

Results
The value obtained for the total DFT energy (no corrections) is -5.238 eV per atom.

No. 6
## Cs2SmTlSe4 (GGA-PBE)

Data for a geometry-optimized Cs2SmTlSe4 structure.

The structure in POSCAR format:
```
Cs2SmTlSe4
1.0
9.233 -0.119 0.051
-0.125 9.233 0.051
-4.414 -4.417 6.447
Cs Sm Tl Se
4 2 2 8
Direct
0.500 0.000 0.000
0.500 0.000 0.500
0.000 0.000 0.500
0.500 0.500 0.000
0.000 0.500 0.000
0.000 0.500 0.500
0.500 0.500 0.500
0.000 0.000 0.000
0.194 0.721 0.957
0.779 0.306 0.543
0.221 0.694 0.457
0.806 0.279 0.043
0.775 0.732 0.962
0.768 0.725 0.538
0.232 0.275 0.462
0.225 0.268 0.038
```

Results
The value obtained for the total DFT energy (no corrections) is -3.888 eV per atom.

No. 7
## Ca3CoC (GGA-PBE)

Data for a geometry-optimized Ca3CoC structure.

The structure in POSCAR format:
```
Ca3CoC
1.0
-2.453 -4.180 -1.023
-0.643 -0.809 4.844
-4.255 2.532 -0.142
Ca Co C
3 1 1
Direct
0.000 0.500 0.000
0.000 0.000 0.500
0.500 0.000 0.000
0.500 0.500 0.500
0.000 0.000 0.000
```

Results
The formation energy from the elements is 0.591 eV per atom.

No. 8
## MgTaCu (GGA-PBE)

Data for a geometry-optimized MgTaCu structure.

The structure in POSCAR format:
```
MgTaCu
1.0
-2.486 -1.135 -1.086
3.494 -1.271 -6.668
1.738 -4.272 0.486
Mg Cu Ta
2 2 2
Direct
0.417 0.169 0.781
0.917 0.805 0.044
0.917 0.120 0.299
0.417 0.854 0.527
0.417 0.434 0.183
0.917 0.539 0.643
```

Results
The formation energy from the elements is 0.150 eV per atom.

No. 9
## Tm12In6Au (GGA-PBE)

Data for a geometry-optimized Tm12In6Au structure.

The structure in POSCAR format:
```
Tm12In6Au
1.0
-4.830 -2.313 6.838
5.560 -6.668 -0.241
5.042 6.034 3.689
Tm In Au
12 6 1
Direct
0.818 0.568 0.431
0.431 0.818 0.568
0.568 0.431 0.818
0.182 0.432 0.569
0.569 0.182 0.432
0.432 0.569 0.182
0.060 0.956 0.317
0.044 0.683 0.940
0.683 0.940 0.044
0.940 0.044 0.683
0.956 0.317 0.060
0.317 0.060 0.956
0.698 0.865 0.380
0.620 0.302 0.135
0.135 0.620 0.302
0.302 0.135 0.620
0.380 0.698 0.865
0.865 0.380 0.698
0.000 0.000 0.000
```

Results
The formation energy from the elements is -0.070 eV per atom.

No. 10
## AgHOF2 (GGA-PBE)

Data for a geometry-optimized AgHOF2 structure.

The structure in POSCAR format:
```
AgHOF2
1.0
4.228 0.000 0.000
0.000 4.228 0.000
0.000 0.000 4.033
H O Ag F
1 1 1 2
Direct
0.500 0.500 0.500
0.000 0.000 0.500
0.000 0.000 0.000
0.000 0.500 0.000
0.500 0.000 0.000
```

Results
The value obtained for the total DFT energy (no corrections) is -2.835 eV per atom.

No. 11
## SrI3Cl (GGA-PBE)

Data for a geometry-optimized SrI3Cl structure.

The structure in POSCAR format:
```
SrI3Cl
1.0
5.870 0.000 0.000
0.000 5.870 0.000
0.000 0.000 5.870
I Sr Cl
3 1 1
Direct
0.000 0.500 0.000
0.000 0.000 0.500
0.500 0.000 0.000
0.500 0.500 0.500
0.000 0.000 0.000
```

Results
The value obtained for the total DFT energy (no corrections) is -2.110 eV per atom.

No. 12
## LaI3 (GGA-PBE)

Data for a geometry-optimized LaI3 structure.

The structure in POSCAR format:
```
LaI3
1.0
0.000 4.108 4.108
4.108 0.000 4.108
4.108 4.108 0.000
I La
3 1
Direct
0.250 0.250 0.250
0.750 0.750 0.750
0.000 0.000 0.000
0.500 0.500 0.500
```

Results
The value obtained for the total DFT energy (no corrections) is -3.454 eV per atom.

| no. | size of the total moment (μB/cell) |
| --- | --- |
| 1 | 0.00 |
| 2 | 0.00 |
| 3 | 0.00 |
| 4 | 3.05 |
| 5 | 0.00 |
| 6 | 0.00 |
| 7 | 0.53 |
| 8 | 0.00 |
| 9 | 0.00 |
| 10 | 0.38 |
| 11 | 0.00 |
| 12 | 0.00 |